# 1
Computed, not measured: a relaxed CaCuC crystal at the PBE level of DFT.

a b c (Å): 6.8847 6.8847 4.0423
angles (deg): 103.72 103.72 32.28
Element x y z (fractional)
1 Ca 0.1177 0.1177 0.4034
2 Ca 0.8823 0.8823 0.5966
3 Cu 0.3093 0.3093 0.0318
4 Cu 0.6907 0.6907 0.9682
5 C 0.4591 0.4591 0.0624
6 C 0.5409 0.5409 0.9376

Values from the calculation:
Relative energy among the computed polymorphs (meV per atom): 20
Symmetry: No. 12
Energy of formation from the pure elements (meV/atom): 32
Total magnetization (μB per formula unit): 0.00
E (eV/atom): -5.075

***

# 2
Computed, not measured: a relaxed DyHo2NpP4 crystal at the PBE level of DFT.

a b c (Å): 6.8891 3.9756 6.8918
angles (deg): 90.00 109.33 90.00
Element x y z (fractional)
1 Dy 0.0000 0.0000 0.0000
2 Ho 0.5000 0.0000 0.5000
3 Ho 0.5000 0.5000 0.0000
4 Np 0.0000 0.5000 0.5000
5 P 0.2473 0.0000 0.7464
6 P 0.2481 0.5000 0.2536
7 P 0.7519 0.5000 0.7464
8 P 0.7527 0.0000 0.2536

Values from the calculation:
Symmetry: No. 10
Energy of formation from the pure elements (meV/atom): -1421
Total magnetization (μB per formula unit): 3.61
E (eV/atom): -7.464

***

# 3
Computed, not measured: a relaxed Th4IrAuSe2 crystal at the PBE level of DFT.

a b c (Å): 7.2344 4.1970 7.6441
angles (deg): 90.00 108.21 90.00
Element x y z (fractional)
1 Th 0.2321 0.0000 0.2277
2 Th 0.2376 0.5000 0.7616
3 Th 0.7624 0.5000 0.2384
4 Th 0.7679 0.0000 0.7723
5 Ir 0.0000 0.5000 0.0000
6 Au 0.5000 0.0000 0.0000
7 Se 0.0000 0.0000 0.5000
8 Se 0.5000 0.5000 0.5000

Values from the calculation:
Symmetry: No. 10
Formation energy without anion corrections (meV per atom): -1156.6
Total magnetization (μB per formula unit): 0.00
E (eV/atom): -7.255

***

# 4
Computed, not measured: a relaxed Ba6SrPt crystal at the PBE level of DFT.

a b c (Å): 8.0715 8.0715 7.6644
angles (deg): 102.28 102.28 98.14
Element x y z (fractional)
1 Ba 0.0752 0.7230 0.7116
2 Ba 0.2645 0.2645 0.8634
3 Ba 0.2770 0.9248 0.2884
4 Ba 0.7230 0.0752 0.7116
5 Ba 0.7355 0.7355 0.1366
6 Ba 0.9248 0.2770 0.2884
7 Sr 0.5000 0.5000 0.5000
8 Pt 0.0000 0.0000 0.5000

Values from the calculation:
Symmetry: No. 12
Energy of formation from the pure elements (meV/atom): -197
Total magnetization (μB per formula unit): 0.00
E (eV/atom): -2.604

***

# 5
Computed, not measured: a relaxed Li8TlPd5 crystal at the PBE level of DFT.

a b c (Å): 6.5270 6.5270 6.5270
angles (deg): 111.31 111.31 105.85
Element x y z (fractional)
1 Li 0.0770 0.3325 0.5994
2 Li 0.1392 0.3851 0.0571
3 Li 0.3280 0.0821 0.9429
4 Li 0.5224 0.9230 0.2555
5 Li 0.6149 0.6720 0.7540
6 Li 0.6675 0.2669 0.7445
7 Li 0.7331 0.4776 0.4006
8 Li 0.9179 0.8608 0.2460
9 Tl 0.2500 0.7500 0.5000
10 Pd 0.0579 0.7045 0.9177
11 Pd 0.2955 0.2132 0.3534
12 Pd 0.5000 0.5000 0.0000
13 Pd 0.7868 0.1402 0.0823
14 Pd 0.8598 0.9421 0.6466

Values from the calculation:
Symmetry: No. 82
Energy of formation from the pure elements (meV/atom): -261
Total magnetization (μB per formula unit): 0.00
E (eV/atom): -3.378

***

# 6
Computed, not measured: a relaxed Mg2MnCl crystal at the PBE level of DFT.

a b c (Å): 6.0118 6.0118 6.0118
angles (deg): 141.28 141.28 55.92
Element x y z (fractional)
1 Mg 0.0000 0.0000 0.0000
2 Mg 0.7500 0.2500 0.5000
3 Mn 0.2500 0.7500 0.5000
4 Cl 0.5000 0.5000 0.0000

Values from the calculation:
Relative energy among the computed polymorphs (meV per atom): 356
Symmetry: No. 119
Formation energy without anion corrections (meV per atom): 50.5
Total magnetization (μB per formula unit): 4.11
E (eV/atom): -3.501

***

# 7
Computed, not measured: a relaxed GdHoCdPt crystal at the PBE level of DFT.

a b c (Å): 5.1100 5.1100 5.1100
angles (deg): 60.00 60.00 60.00
Element x y z (fractional)
1 Gd 0.0000 0.0000 0.0000
2 Ho 0.5000 0.5000 0.5000
3 Cd 0.2500 0.2500 0.2500
4 Pt 0.7500 0.7500 0.7500

Values from the calculation:
Symmetry: No. 216
Energy of formation from the pure elements (meV/atom): -713
Total magnetization (μB per formula unit): 7.12
E (eV/atom): -7.117

***

# 8
Computed, not measured: a relaxed PmThPdAu crystal at the PBE level of DFT.

a b c (Å): 4.5960 6.0340 6.0340
angles (deg): 37.33 90.00 90.00
Element x y z (fractional)
1 Pm 0.0000 0.0000 0.0000
2 Th 0.5000 0.7251 0.7251
3 Pd 0.0000 0.2664 0.2664
4 Au 0.5000 0.4442 0.4442

Values from the calculation:
Relative energy among the computed polymorphs (meV per atom): 0
Symmetry: No. 38
Energy of formation from the pure elements (meV/atom): -770
Total magnetization (μB per formula unit): 0.00
E (eV/atom): -5.930